Computed, not measured: TaCr3Te at its PBEsol-relaxed geometry at the meta-GGA SCAN level of DFT.

Its uncorrected formation energy is 1.2158 eV per atom.

The space group is Pm-3m (No. 221) and the conventional cell measures 4.722, 4.722 and 4.722 Å, with angles of 90.00, 90.00 and 90.00 degrees. The asymmetric unit holds Ta at (0.000, 0.000, 0.000), Cr at (0.000, 0.000, 0.500) and Te at (0.500, 0.500, 0.500).


Computed, not measured: Ta2CrTe at its PBEsol-relaxed geometry at the meta-GGA SCAN level of DFT.

Its uncorrected formation energy is 0.1093 eV per atom.

The space group is P4mm (No. 99) and the conventional cell measures 3.404, 3.404 and 6.027 Å, with angles of 90.00, 90.00 and 90.00 degrees. The asymmetric unit holds Ta at (0.000, 0.000, 0.000), Ta at (0.500, 0.500, 0.260), Cr at (0.500, 0.500, 0.785) and Te at (0.000, 0.000, 0.518).


Computed, not measured: TaCrTe2 at its PBEsol-relaxed geometry at the meta-GGA SCAN level of DFT.

Its uncorrected formation energy is 0.0733 eV per atom.

The space group is R-3m (No. 166, hexagonal axes) and the conventional cell measures 3.5807, 3.5807 and 23.3914 Å, with angles of 90.00, 90.00 and 120.00 degrees. The asymmetric unit holds Ta at (0.0000, 0.0000, 0.0000), Cr at (0.0000, 0.0000, 0.5000) and Te at (0.0000, 0.0000, 0.2514).


Computed, not measured: Ta2CrTe at its PBEsol-relaxed geometry at the meta-GGA SCAN level of DFT.

Its uncorrected formation energy is 0.1390 eV per atom.

The space group is Immm (No. 71) and the conventional cell measures 3.369, 4.437 and 8.886 Å, with angles of 90.00, 90.00 and 90.00 degrees. The asymmetric unit holds Ta at (0.000, 0.000, 0.240), Cr at (0.000, 0.500, 0.500) and Te at (0.000, 0.500, 0.000).


Computed, not measured: Ta3CrTe at its PBEsol-relaxed geometry at the meta-GGA SCAN level of DFT.

Its uncorrected formation energy is 1.9532 eV per atom.

The space group is Pm-3m (No. 221) and the conventional cell measures 4.931, 4.931 and 4.931 Å, with angles of 90.00, 90.00 and 90.00 degrees. The asymmetric unit holds Ta at (0.000, 0.000, 0.500), Cr at (0.500, 0.500, 0.500) and Te at (0.000, 0.000, 0.000).


Computed, not measured: TaTlCr at its PBEsol-relaxed geometry at the meta-GGA SCAN level of DFT.

As for the formation energy from the elements: 0.508 eV per atom.

The space group is P3m1 (No. 156) and the conventional cell measures 3.0105, 3.0105 and 6.9035 Å, with angles of 90.00, 90.00 and 120.00 degrees. The asymmetric unit holds Ta at (0.0000, 0.0000, 0.0000), Tl at (0.3333, 0.6667, 0.6339) and Cr at (0.6667, 0.3333, 0.2972).


Computed, not measured: Ta2TlCr at its PBEsol-relaxed geometry at the meta-GGA SCAN level of DFT.

As for the formation energy from the elements: 0.384 eV per atom.

The space group is Cm (No. 8) and the conventional cell measures 9.964, 3.259 and 4.602 Å, with angles of 90.00, 114.50 and 90.00 degrees. The asymmetric unit holds Ta at (0.000, 0.000, 0.000), Ta at (0.234, 0.000, 0.745), Tl at (0.458, 0.000, 0.458) and Cr at (0.212, 0.500, 0.248).


Computed, not measured: TaTlCr at its PBEsol-relaxed geometry at the meta-GGA SCAN level of DFT.

As for the formation energy from the elements: 1.150 eV per atom.

The space group is F-43m (No. 216) and the conventional cell measures 6.352, 6.352 and 6.352 Å, with angles of 90.00, 90.00 and 90.00 degrees. The asymmetric unit holds Ta at (0.000, 0.000, 0.000), Tl at (0.250, 0.250, 0.250) and Cr at (0.250, 0.250, 0.750).


Computed, not measured: Ta2TlCr at its PBEsol-relaxed geometry at the meta-GGA SCAN level of DFT.

As for the formation energy from the elements: 0.341 eV per atom.

The space group is Cmmm (No. 65) and the conventional cell measures 3.227, 4.877 and 8.870 Å, with angles of 90.00, 90.00 and 90.00 degrees. The asymmetric unit holds Ta at (0.000, 0.000, 0.214), Tl at (0.000, 0.500, 0.500) and Cr at (0.000, 0.500, 0.000).


Computed, not measured: Ta2TlCr at its PBEsol-relaxed geometry at the meta-GGA SCAN level of DFT.

As for the formation energy from the elements: 0.329 eV per atom.

The space group is Immm (No. 71) and the conventional cell measures 3.373, 4.522 and 8.825 Å, with angles of 90.00, 90.00 and 90.00 degrees. The asymmetric unit holds Ta at (0.000, 0.000, 0.227), Tl at (0.000, 0.500, 0.000) and Cr at (0.000, 0.500, 0.500).


Computed, not measured: TaTlCr at its PBEsol-relaxed geometry at the meta-GGA SCAN level of DFT.

As for the formation energy from the elements: 1.048 eV per atom.

The space group is F-43m (No. 216) and the conventional cell measures 6.301, 6.301 and 6.301 Å, with angles of 90.00, 90.00 and 90.00 degrees. The asymmetric unit holds Ta at (0.000, 0.000, 0.000), Tl at (0.250, 0.250, 0.750) and Cr at (0.000, 0.000, 0.500).


Computed, not measured: TaCr2W at its PBEsol-relaxed geometry at the meta-GGA SCAN level of DFT.

As for the formation energy from the elements: 0.085 eV per atom.

The space group is Immm (No. 71) and the conventional cell measures 3.063, 4.396 and 8.353 Å, with angles of 90.00, 90.00 and 90.00 degrees. The asymmetric unit holds Ta at (0.000, 0.000, 0.000), Cr at (0.000, 0.500, 0.246) and W at (0.000, 0.000, 0.500).


Computed, not measured: TaCr2W at its PBEsol-relaxed geometry at the meta-GGA SCAN level of DFT.

As for the formation energy from the elements: -0.046 eV per atom.

The space group is Fm-3m (No. 225) and the conventional cell measures 6.053, 6.053 and 6.053 Å, with angles of 90.00, 90.00 and 90.00 degrees. The asymmetric unit holds Ta at (0.000, 0.000, 0.000), Cr at (0.250, 0.250, 0.250) and W at (0.000, 0.000, 0.500).


Computed, not measured: Ta2CrW at its PBEsol-relaxed geometry at the meta-GGA SCAN level of DFT.

As for the formation energy from the elements: -0.052 eV per atom.

The space group is P4/mmm (No. 123) and the conventional cell measures 3.140, 3.140 and 6.279 Å, with angles of 90.00, 90.00 and 90.00 degrees. The asymmetric unit holds Ta at (0.000, 0.000, 0.240), Cr at (0.500, 0.500, 0.000) and W at (0.500, 0.500, 0.500).


Computed, not measured: Ta2Cr2W at its PBEsol-relaxed geometry at the meta-GGA SCAN level of DFT.

As for the formation energy from the elements: 0.891 eV per atom.

The space group is I4/mmm (No. 139) and the conventional cell measures 3.826, 3.826 and 10.851 Å, with angles of 90.00, 90.00 and 90.00 degrees. The asymmetric unit holds Ta at (0.000, 0.500, 0.250), Cr at (0.000, 0.000, 0.084) and W at (0.000, 0.000, 0.500).


Taking the records one at a time from the top gives spin magnetization values of 9.69, 2.59, 15.10, 2.90, 1.74, 3.16, 0.00, 15.78, 0.00, 0.00, 13.18, 0.00, 1.40, 0.22, 0.01 μB per cell.